## Pm2Zn3CuNi12 (GGA-PBE)

Data for an optimized crystal structure of Pm2Zn3CuNi12.

It has space group R-3m (No. 166, hexagonal axes), with a = 6.0034 Å, b = 6.0034 Å, c = 25.8677 Å, α = 90.00°, β = 90.00° and γ = 120.00°. The distinct sites, in fractional coordinates, are Pm at (0.0000, 0.0000, 0.1541), Zn at (0.0000, 0.5000, 0.0000), Cu at (0.0000, 0.0000, 0.5000), Ni at (0.0543, 0.5272, 0.0959) and Ni at (0.0735, 0.5368, 0.6146).

For the total energy, the calculation gives -4.693 eV/atom. As for the crystal system: trigonal.